# 1
Below is a geometry-optimized ThB2O6 structure, with properties calculated at the GGA-PBE level.

Cell lengths 5.412, 5.412, 6.841 Å; angles 66.70, 66.70, 60.00 degrees
Last column: magnetic moment on the atom in μB.
Element x y z (fractional)
1 O 0.516 0.870 0.234  0.29
2 O 0.870 0.381 0.234  0.29
3 O 0.543 0.028 0.767  0.29
4 O 0.028 0.663 0.767  0.29
5 O 0.663 0.543 0.767  0.29
6 O 0.381 0.516 0.234  0.29
7 Th 0.333 0.333 0.002  0.01
8 B 0.747 0.747 0.759  -0.02
9 B 0.586 0.586 0.241  -0.02

Energy relative to the elements, uncorrected (eV/atom): -2.30
Theoretical density (g cm⁻³): 3.76
DOS(E_F) (states/eV per atom): 0.042
SG: R3

# 2
Below is a geometry-optimized ThB4O8 structure, with properties calculated at the GGA-PBE level.

Cell lengths 8.383, 8.383, 7.389 Å; angles 66.25, 66.25, 29.35 degrees
Element x y z (fractional)
1 B 0.395 0.996 0.794
2 B 0.549 0.169 0.494
3 B 0.605 0.004 0.206
4 B 0.996 0.395 0.294
5 B 0.831 0.451 0.006
6 B 0.451 0.831 0.506
7 B 0.004 0.605 0.706
8 B 0.169 0.549 0.994
9 O 0.063 0.670 0.801
10 O 0.508 0.804 0.987
11 O 0.937 0.330 0.199
12 O 0.180 0.715 0.990
13 O 0.670 0.063 0.301
14 O 0.359 0.074 0.332
15 O 0.641 0.926 0.668
16 O 0.926 0.641 0.168
17 O 0.715 0.180 0.490
18 O 0.074 0.359 0.832
19 O 0.330 0.937 0.699
20 O 0.196 0.492 0.513
21 O 0.820 0.285 0.010
22 O 0.285 0.820 0.510
23 O 0.804 0.508 0.487
24 O 0.492 0.196 0.013
25 Th 0.180 0.820 0.250
26 Th 0.820 0.180 0.750

Energy relative to the elements, uncorrected (eV/atom): -2.73
Theoretical density (g cm⁻³): 5.79
DOS(E_F) (states/eV per atom): 0.000
SG: C2/c

# 3
Below is a geometry-optimized ThBO3 structure, with properties calculated at the GGA-PBE level.

Cell lengths 3.676, 3.676, 3.676 Å; angles 90.00, 90.00, 90.00 degrees
Last column: magnetic moment on the atom in μB.
Element x y z (fractional)
1 O 0.500 0.000 0.500  0.00
2 O 0.000 0.500 0.500  0.00
3 O 0.500 0.500 0.000  0.00
4 B 0.500 0.500 0.500  -0.12
5 Th 0.000 0.000 0.000  -0.07

Energy relative to the elements, uncorrected (eV/atom): -1.96
Theoretical density (g cm⁻³): 9.72
DOS(E_F) (states/eV per atom): 0.500
SG: Pm-3m

# 4
Below is a geometry-optimized ThB2O5 structure, with properties calculated at the GGA-PBE level.

Cell lengths 6.757, 6.757, 10.604 Å; angles 79.98, 79.98, 62.48 degrees
Element x y z (fractional)
1 O 0.265 0.366 0.813
2 O 0.107 0.603 0.529
3 O 0.649 0.270 0.416
4 O 0.603 0.107 0.029
5 O 0.397 0.893 0.971
6 O 0.893 0.397 0.471
7 O 0.735 0.634 0.187
8 O 0.185 0.765 0.130
9 O 0.730 0.351 0.084
10 O 0.366 0.265 0.313
11 O 0.765 0.185 0.630
12 O 0.303 0.066 0.666
13 O 0.066 0.303 0.166
14 O 0.815 0.235 0.870
15 O 0.270 0.649 0.916
16 O 0.634 0.735 0.687
17 O 0.934 0.697 0.834
18 O 0.235 0.815 0.370
19 O 0.351 0.730 0.584
20 O 0.697 0.934 0.334
21 Th 0.603 0.031 0.808
22 Th 0.031 0.603 0.308
23 Th 0.969 0.397 0.692
24 Th 0.397 0.969 0.192
25 B 0.574 0.155 0.358
26 B 0.769 0.278 0.504
27 B 0.278 0.769 0.004
28 B 0.155 0.574 0.858
29 B 0.845 0.426 0.142
30 B 0.426 0.845 0.642
31 B 0.722 0.231 0.996
32 B 0.231 0.722 0.496

Energy relative to the elements, uncorrected (eV/atom): -2.98
Theoretical density (g cm⁻³): 5.27
DOS(E_F) (states/eV per atom): 0.000
SG: C2/c

- What is the formula in the fourth record?
  ThB2O5